Material: BaNaCeWO6
Method: DFT, PBE with a Hubbard U
State: relaxed

Summary:
M_tot   1.014 μB per formula unit
Raw total energy   -286.81 eV for the cell shown

```
data_BaNaCeWO6
_cell_length_a 8.5226
_cell_length_b 8.5226
_cell_length_c 8.5226
_cell_angle_alpha 90.00
_cell_angle_beta 90.00
_cell_angle_gamma 90.00
_space_group_name_H-M_alt 'F -4 3 m'
_space_group_IT_number 216
_space_group_name_Hall 'F -4 2 3'
loop_
_atom_site_label
_atom_site_type_symbol
_atom_site_fract_x
_atom_site_fract_y
_atom_site_fract_z
Ba1 Ba 0.0000 0.0000 0.0000
Na1 Na 0.0000 0.0000 0.5000
Ce1 Ce 0.2500 0.2500 0.2500
W1 W 0.2500 0.2500 0.7500
O1 O 0.0181 0.2500 0.7500
```